(1)
## La3Tb3NdZn2 (GGA-PBE)

Data for crystalline La3Tb3NdZn2 at its relaxed geometry.

## Properties
E_form in eV per formula unit: 0.1
Total moment in μB per cell: 0.00

The structure in POSCAR format:
```
La3Tb3NdZn2
1.0
3.6531 0.0000 0.0000
0.0000 9.2489 0.0000
0.0000 -4.6244 8.0098
La Tb Nd Zn
3 3 1 2
Cartesian
1.8265 6.3668 0.0000
1.8265 -3.1834 5.5138
1.8265 1.4410 2.4959
0.0000 2.8640 4.9605
0.0000 -1.7605 3.0492
0.0000 3.5210 0.0000
0.0000 0.0000 0.0000
1.8265 0.0000 5.3398
1.8265 4.6244 2.6699
```

---

(2)
## LaTbNdZn (GGA-PBE)

Data for crystalline LaTbNdZn at its relaxed geometry.

## Properties
Polymorph energy (0 for the lowest one) in meV per atom: 0.0
E_form in eV per formula unit: -0.6
Total moment in μB per cell: 0.00

The structure in POSCAR format:
```
LaTbNdZn
1.0
-1.7202 -1.4678 -2.8796
0.6669 -3.3530 1.3107
-7.6344 0.2204 4.4482
Zn La Tb Nd
1 1 1 1
Cartesian
-4.2818 0.1236 2.4948
-0.5986 0.0173 0.3488
-3.3587 -2.3287 0.8657
-6.4392 -2.2397 2.6606
```

---

(3)
## LaTbNdZr (GGA-PBE)

Data for crystalline LaTbNdZr at its relaxed geometry.

## Properties
E_form in eV per formula unit: 0.8
Total moment in μB per cell: 0.04

The structure in POSCAR format:
```
LaTbNdZr
1.0
-2.6802 -2.2086 4.3615
-1.1386 -5.4569 0.1005
2.7143 -3.3494 3.5354
Zr Nd La Tb
1 1 1 1
Cartesian
-0.2761 -2.7537 1.9993
0.0000 0.0000 0.0000
-0.5523 -5.5075 3.9987
-0.8284 -8.2612 5.9980
```